1.
A plane-wave DFT calculation with PBE was carried out for a relaxed structure of Tb4CSe2. Values from VASP.

Calculated values
Total DFT energy (no corrections) (eV/atom): -6.078
Magnetization (μB/f.u.): 0.7
E_form (uncorrected) (meV/atom): -1119
Excess energy over the best structure of this formula in the dataset (meV per atom): 0.0
Crystal system: orthorhombic

Cell and atoms, written as Quantum ESPRESSO input:
```
&SYSTEM
  ibrav = 0, nat = 7, ntyp = 3
/
ATOMIC_SPECIES
Tb 158.93 Tb.upf
C 12.01 C.upf
Se 78.96 Se.upf
ATOMIC_POSITIONS angstrom
Tb 1.672 0.000 1.938
Tb 4.099 3.157 0.000
Tb 4.099 -3.157 0.000
Tb 6.525 0.000 1.938
C 0.000 0.000 0.000
Se 2.049 2.823 1.938
Se 2.049 -2.823 1.938
CELL_PARAMETERS angstrom
4.099 -5.647 0.000
4.099 5.647 0.000
0.000 0.000 3.876
```



2.
A plane-wave DFT calculation with PBE was carried out for a relaxed structure of Sc3GaS. Values from VASP.

Calculated values
Total DFT energy (no corrections) (eV/atom): -6.043
Magnetization (μB/f.u.): 0.0
E_form (uncorrected) (meV/atom): -814
Excess energy over the best structure of this formula in the dataset (meV per atom): 224.6
Crystal system: cubic

Cell and atoms, written as Quantum ESPRESSO input:
```
&SYSTEM
  ibrav = 0, nat = 5, ntyp = 3
/
ATOMIC_SPECIES
Sc 44.96 Sc.upf
Ga 69.72 Ga.upf
S 32.06 S.upf
ATOMIC_POSITIONS angstrom
Sc 0.000 0.000 2.383
Sc 0.000 2.383 0.000
Sc 2.383 0.000 0.000
Ga 2.383 2.383 2.383
S 0.000 0.000 0.000
CELL_PARAMETERS angstrom
4.767 0.000 0.000
0.000 4.767 0.000
0.000 0.000 4.767
```



3.
A plane-wave DFT calculation with PBE was carried out for a relaxed structure of La2Ir2Br. Values from VASP.

Calculated values
Total DFT energy (no corrections) (eV/atom): -6.485
Magnetization (μB/f.u.): 0.0
E_form (uncorrected) (meV/atom): -635
Crystal system: tetragonal

Cell and atoms, written as Quantum ESPRESSO input:
```
&SYSTEM
  ibrav = 0, nat = 5, ntyp = 3
/
ATOMIC_SPECIES
La 138.91 La.upf
Ir 192.22 Ir.upf
Br 79.90 Br.upf
ATOMIC_POSITIONS angstrom
La 2.750 0.000 2.138
La 0.000 2.750 2.138
Ir 0.000 0.000 1.275
Ir 0.000 0.000 7.275
Br 0.000 0.000 4.275
CELL_PARAMETERS angstrom
-2.750 2.750 4.275
2.750 -2.750 4.275
2.750 2.750 -4.275
```



4.
A plane-wave DFT calculation with PBE was carried out for a relaxed structure of Cd4CuSb. Values from VASP.

Calculated values
Total DFT energy (no corrections) (eV/atom): -1.666
Magnetization (μB/f.u.): 0.0
E_form (uncorrected) (meV/atom): 314
Crystal system: cubic

Cell and atoms, written as Quantum ESPRESSO input:
```
&SYSTEM
  ibrav = 0, nat = 6, ntyp = 3
/
ATOMIC_SPECIES
Cd 112.41 Cd.upf
Cu 63.55 Cu.upf
Sb 121.76 Sb.upf
ATOMIC_POSITIONS angstrom
Cd 1.019 1.019 1.019
Cd 3.080 3.080 1.019
Cd 3.080 1.019 3.080
Cd 1.019 3.080 3.080
Cu 6.149 6.149 6.149
Sb 4.099 4.099 4.099
CELL_PARAMETERS angstrom
0.000 4.099 4.099
4.099 0.000 4.099
4.099 4.099 0.000
```



5.
A plane-wave DFT calculation with PBE was carried out for a relaxed structure of CdCu2Cl. Values from VASP.

Calculated values
Total DFT energy (no corrections) (eV/atom): -2.474
Magnetization (μB/f.u.): 0.0
E_form (uncorrected) (meV/atom): 265
Excess energy over the best structure of this formula in the dataset (meV per atom): 320.7
Crystal system: tetragonal

Cell and atoms, written as Quantum ESPRESSO input:
```
&SYSTEM
  ibrav = 0, nat = 4, ntyp = 3
/
ATOMIC_SPECIES
Cd 112.41 Cd.upf
Cu 63.55 Cu.upf
Cl 35.45 Cl.upf
ATOMIC_POSITIONS angstrom
Cd 0.000 0.000 0.000
Cu 0.000 2.330 1.570
Cu 2.330 0.000 1.570
Cl 2.330 2.330 0.000
CELL_PARAMETERS angstrom
4.659 0.000 0.000
0.000 4.659 0.000
0.000 0.000 3.141
```



6.
A plane-wave DFT calculation with PBE was carried out for a relaxed structure of U4TcGe. Values from VASP.

Calculated values
Total DFT energy (no corrections) (eV/atom): -10.152
DFT formation energy (eV/f.u.): -0.77
Magnetization (μB/f.u.): 0.0
Crystal system: orthorhombic

Cell and atoms, written as Quantum ESPRESSO input:
```
&SYSTEM
  ibrav = 0, nat = 6, ntyp = 3
/
ATOMIC_SPECIES
U 238.03 U.upf
Tc 98.00 Tc.upf
Ge 72.64 Ge.upf
ATOMIC_POSITIONS angstrom
U 2.279 2.886 1.357
U 2.279 2.886 4.137
U 2.279 -2.886 1.357
U 2.279 -2.886 4.137
Tc 2.279 0.000 2.747
Ge 2.279 0.000 0.000
CELL_PARAMETERS angstrom
2.279 -4.373 0.000
2.279 4.373 0.000
0.000 0.000 5.495
```



7.
A plane-wave DFT calculation with PBE was carried out for a relaxed structure of Ba2Nb2H. Values from VASP.

Calculated values
Total DFT energy (no corrections) (eV/atom): -4.526
Magnetization (μB/f.u.): 0.0
Excess energy over the best structure of this formula in the dataset (meV per atom): 439.4
Crystal system: tetragonal

Cell and atoms, written as Quantum ESPRESSO input:
```
&SYSTEM
  ibrav = 0, nat = 10, ntyp = 3
/
ATOMIC_SPECIES
Ba 137.33 Ba.upf
Nb 92.91 Nb.upf
H 1.01 H.upf
ATOMIC_POSITIONS angstrom
Ba 1.349 2.187 0.000
Ba 2.187 5.723 0.000
Ba 4.885 1.349 0.000
Ba 5.723 4.885 0.000
Nb 0.772 4.308 3.028
Nb 2.764 0.772 3.028
Nb 4.308 6.300 3.028
Nb 6.300 2.764 3.028
H 0.000 0.000 0.000
H 3.536 3.536 0.000
CELL_PARAMETERS angstrom
7.072 0.000 0.000
0.000 7.072 0.000
0.000 0.000 6.056
```



8.
A plane-wave DFT calculation with PBE was carried out for a relaxed structure of Sr3HoU2As6. Values from VASP.

Calculated values
Total DFT energy (no corrections) (eV/atom): -6.097
DFT formation energy (eV/f.u.): -13.07
Magnetization (μB/f.u.): 3.0
Crystal system: monoclinic

Cell and atoms, written as Quantum ESPRESSO input:
```
&SYSTEM
  ibrav = 0, nat = 12, ntyp = 4
/
ATOMIC_SPECIES
Sr 87.62 Sr.upf
Ho 164.93 Ho.upf
U 238.03 U.upf
As 74.92 As.upf
ATOMIC_POSITIONS angstrom
Sr 0.000 0.000 0.000
Sr 3.677 2.100 0.000
Sr 3.677 -2.100 0.000
Ho 2.453 0.000 3.558
U 2.453 4.242 3.558
U 2.453 -4.242 3.558
As 1.199 2.168 2.019
As -0.051 0.000 5.097
As 1.199 -2.168 2.019
As 3.706 2.168 5.097
As 4.956 0.000 2.019
As 3.706 -2.168 5.097
CELL_PARAMETERS angstrom
3.677 -6.369 0.000
3.677 6.369 0.000
-2.450 0.000 7.116
```



9.
A plane-wave DFT calculation with PBE was carried out for a relaxed structure of Ca2Ta. Values from VASP.

Calculated values
Total DFT energy (no corrections) (eV/atom): -4.624
DFT formation energy (eV/f.u.): 1.98
Magnetization (μB/f.u.): 0.0
Excess energy over the best structure of this formula in the dataset (meV per atom): 201.7
Crystal system: trigonal

Cell and atoms, written as Quantum ESPRESSO input:
```
&SYSTEM
  ibrav = 0, nat = 3, ntyp = 2
/
ATOMIC_SPECIES
Ca 40.08 Ca.upf
Ta 180.95 Ta.upf
ATOMIC_POSITIONS angstrom
Ca 0.000 1.913 2.610
Ca 1.656 0.956 6.108
Ta 0.000 0.000 0.000
CELL_PARAMETERS angstrom
3.313 0.000 0.000
-1.656 2.869 0.000
0.000 0.000 8.718
```



10.
A plane-wave DFT calculation with PBE was carried out for a relaxed structure of La6TbDy2Er. Values from VASP.

Calculated values
Total DFT energy (no corrections) (eV/atom): -4.681
DFT formation energy (eV/f.u.): 1.15
Magnetization (μB/f.u.): 0.0
Crystal system: monoclinic

Cell and atoms, written as Quantum ESPRESSO input:
```
&SYSTEM
  ibrav = 0, nat = 20, ntyp = 4
/
ATOMIC_SPECIES
La 138.91 La.upf
Tb 158.93 Tb.upf
Dy 162.50 Dy.upf
Er 167.26 Er.upf
ATOMIC_POSITIONS angstrom
La 1.808 3.316 7.612
La 3.832 5.206 5.399
La 5.085 5.206 8.561
La 3.918 1.978 3.658
La 5.629 1.978 0.995
La 2.123 -3.316 2.958
La 7.109 3.316 6.348
La 3.603 -1.978 8.311
La 5.314 -1.978 5.649
La 4.147 -5.206 0.746
La 5.400 -5.206 3.907
La 7.424 -3.316 1.695
Tb 4.773 6.741 2.327
Tb 4.459 -6.741 6.980
Dy 2.399 0.663 0.595
Dy 2.084 -0.663 5.248
Dy 7.148 0.663 4.058
Dy 6.833 -0.663 8.712
Er 4.459 1.229 6.980
Er 4.773 -1.229 2.327
CELL_PARAMETERS angstrom
4.931 -7.577 0.000
4.931 7.577 0.000
-0.630 0.000 9.307
```



11.
A plane-wave DFT calculation with PBE was carried out for a relaxed structure of LaAg4Au. Values from VASP.

Calculated values
Total DFT energy (no corrections) (eV/atom): -3.518
DFT formation energy (eV/f.u.): -1.50
Magnetization (μB/f.u.): 0.0
Crystal system: cubic

Cell and atoms, written as Quantum ESPRESSO input:
```
&SYSTEM
  ibrav = 0, nat = 6, ntyp = 3
/
ATOMIC_SPECIES
La 138.91 La.upf
Ag 107.87 Ag.upf
Au 196.97 Au.upf
ATOMIC_POSITIONS angstrom
La 0.000 0.000 0.000
Ag 4.949 2.979 2.979
Ag 2.979 4.949 2.979
Ag 2.979 2.979 4.949
Ag 4.949 4.949 4.949
Au 1.982 1.982 1.982
CELL_PARAMETERS angstrom
0.000 3.964 3.964
3.964 0.000 3.964
3.964 3.964 0.000
```



12.
A plane-wave DFT calculation with PBE was carried out for a relaxed structure of LaSn2PdSe. Values from VASP.

Calculated values
Total DFT energy (no corrections) (eV/atom): -3.591
Magnetization (μB/f.u.): 0.0
E_form (uncorrected) (meV/atom): 731
Crystal system: tetragonal

Cell and atoms, written as Quantum ESPRESSO input:
```
&SYSTEM
  ibrav = 0, nat = 5, ntyp = 4
/
ATOMIC_SPECIES
La 138.91 La.upf
Sn 118.71 Sn.upf
Pd 106.42 Pd.upf
Se 78.96 Se.upf
ATOMIC_POSITIONS angstrom
La 0.000 0.000 0.000
Sn 0.000 3.054 0.000
Sn 3.054 0.000 0.000
Pd 0.000 0.000 2.534
Se 3.054 3.054 2.534
CELL_PARAMETERS angstrom
6.108 0.000 0.000
0.000 6.108 0.000
0.000 0.000 5.067
```